# 1
# meta-GGA SCAN ZnSi2SnO6, single point on PBEsol structure
data_ZnSi2SnO6
_cell_length_a 5.3698
_cell_length_b 9.1028
_cell_length_c 19.3313
_cell_angle_alpha 90.00
_cell_angle_beta 90.00
_cell_angle_gamma 90.00
_space_group_name_H-M_alt 'P 1'
_space_group_IT_number 1
_space_group_name_Hall 'P 1'
loop_
_atom_site_label
_atom_site_fract_x
_atom_site_fract_y
_atom_site_fract_z
_atom_site_occupancy
Zn1 0.3740 0.8532 0.3736 1
Zn2 0.6260 0.1468 0.6264 1
Zn3 0.3740 0.3532 0.1264 1
Zn4 0.8740 0.1468 0.1264 1
Zn5 0.1260 0.8532 0.8736 1
Zn6 0.6260 0.6468 0.8736 1
Zn7 0.8740 0.6468 0.3736 1
Zn8 0.1260 0.3532 0.6264 1
Si1 0.4962 0.3408 0.7649 1
Si2 0.2998 0.1597 0.4844 1
Si3 0.2002 0.1597 0.9844 1
Si4 0.0038 0.8408 0.2351 1
Si5 0.9962 0.6592 0.7351 1
Si6 0.5038 0.1592 0.2649 1
Si7 0.7998 0.3403 0.4844 1
Si8 0.2998 0.6597 0.0156 1
Si9 0.2002 0.6597 0.5156 1
Si10 0.0038 0.3408 0.2649 1
Si11 0.5038 0.6592 0.2351 1
Si12 0.4962 0.8408 0.7351 1
Si13 0.7002 0.8403 0.5156 1
Si14 0.9962 0.1592 0.7649 1
Si15 0.7002 0.3403 0.9844 1
Si16 0.7998 0.8403 0.0156 1
Sn1 0.6238 0.0345 0.8785 1
Sn2 0.3762 0.9655 0.1215 1
Sn3 0.1238 0.9655 0.6215 1
Sn4 0.8762 0.0345 0.3785 1
Sn5 0.6238 0.5345 0.6215 1
Sn6 0.3762 0.4655 0.3785 1
Sn7 0.1238 0.4655 0.8785 1
Sn8 0.8762 0.5345 0.1215 1
O1 0.0287 0.4983 0.3034 1
O2 0.7541 0.9974 0.0524 1
O3 0.9713 0.5017 0.6966 1
O4 0.2919 0.6634 0.9301 1
O5 0.7919 0.8366 0.9301 1
O6 0.0671 0.7685 0.0409 1
O7 0.0268 0.3398 0.1795 1
O8 0.9732 0.1602 0.6795 1
O9 0.2919 0.1634 0.5699 1
O10 0.0268 0.8398 0.3205 1
O11 0.5287 0.5017 0.1966 1
O12 0.2081 0.6634 0.4301 1
O13 0.2459 0.0026 0.9476 1
O14 0.5268 0.1602 0.1795 1
O15 0.4713 0.9983 0.6966 1
O16 0.7541 0.4974 0.4476 1
O17 0.5287 0.0017 0.3034 1
O18 0.7412 0.2634 0.2898 1
O19 0.7588 0.2634 0.7898 1
O20 0.4329 0.2685 0.9591 1
O21 0.2081 0.1634 0.0699 1
O22 0.4732 0.3398 0.6795 1
O23 0.2541 0.5026 0.0524 1
O24 0.7412 0.7634 0.2102 1
O25 0.7081 0.8366 0.4301 1
O26 0.4732 0.8398 0.8205 1
O27 0.2459 0.5026 0.5524 1
O28 0.7919 0.3366 0.5699 1
O29 0.7459 0.4974 0.9476 1
O30 0.2412 0.2366 0.2898 1
O31 0.9713 0.0017 0.8034 1
O32 0.2588 0.2366 0.7898 1
O33 0.2588 0.7366 0.7102 1
O34 0.2541 0.0026 0.4476 1
O35 0.7081 0.3366 0.0699 1
O36 0.7459 0.9974 0.5524 1
O37 0.7588 0.7634 0.7102 1
O38 0.9329 0.2315 0.9591 1
O39 0.5671 0.2315 0.4591 1
O40 0.2412 0.7366 0.2102 1
O41 0.5671 0.7315 0.0409 1
O42 0.4329 0.7685 0.5409 1
O43 0.9329 0.7315 0.5409 1
O44 0.5268 0.6602 0.3205 1
O45 0.4713 0.4983 0.8034 1
O46 0.0671 0.2685 0.4591 1
O47 0.9732 0.6602 0.8205 1
O48 0.0287 0.9983 0.1966 1
# Energy above the most stable polymorph in this dataset   6 meV per atom
# Uncorrected formation energy   -2.34 eV per atom

# 2
# meta-GGA SCAN Fe3SbTe, single point on PBEsol structure
data_Fe3SbTe
_cell_length_a 4.7430
_cell_length_b 4.7430
_cell_length_c 4.7430
_cell_angle_alpha 90.00
_cell_angle_beta 90.00
_cell_angle_gamma 90.00
_space_group_name_H-M_alt 'P 1'
_space_group_IT_number 1
_space_group_name_Hall 'P 1'
loop_
_atom_site_label
_atom_site_fract_x
_atom_site_fract_y
_atom_site_fract_z
_atom_site_occupancy
Sb1 0.0000 0.0000 0.0000 1
Te1 0.5000 0.5000 0.5000 1
Fe1 0.0000 0.5000 0.0000 1
Fe2 0.0000 0.0000 0.5000 1
Fe3 0.5000 0.0000 0.0000 1
# Uncorrected formation energy   1.11 eV per atom

# 3
This record from the Alexandria database describes BiBPt3 at its PBEsol-relaxed geometry. The functional is meta-GGA SCAN.

Geometry as CIF:
```
data_BiBPt3
_cell_length_a 5.6780
_cell_length_b 5.9725
_cell_length_c 5.8947
_cell_angle_alpha 111.54
_cell_angle_beta 90.00
_cell_angle_gamma 118.38
_space_group_name_H-M_alt 'P 1'
_space_group_IT_number 1
_space_group_name_Hall 'P 1'
loop_
_atom_site_label
_atom_site_fract_x
_atom_site_fract_y
_atom_site_fract_z
_atom_site_occupancy
B1 0.8398 0.6795 0.9958 1
B2 0.1602 0.3205 0.0042 1
Bi1 0.4261 0.8523 0.7132 1
Bi2 0.5739 0.1477 0.2868 1
Pt1 0.4377 0.3814 0.7431 1
Pt2 0.0578 0.1156 0.2596 1
Pt3 0.9437 0.3814 0.7431 1
Pt4 0.0563 0.6186 0.2569 1
Pt5 0.5623 0.6186 0.2569 1
Pt6 0.9422 0.8844 0.7404 1
```

# 4
# meta-GGA SCAN Ag2PtAu, single point on PBEsol structure
data_Ag2PtAu
_cell_length_a 2.8113
_cell_length_b 2.8113
_cell_length_c 8.1592
_cell_angle_alpha 90.00
_cell_angle_beta 90.00
_cell_angle_gamma 90.00
_space_group_name_H-M_alt 'P 1'
_space_group_IT_number 1
_space_group_name_Hall 'P 1'
loop_
_atom_site_label
_atom_site_fract_x
_atom_site_fract_y
_atom_site_fract_z
_atom_site_occupancy
Au1 0.0000 0.0000 0.5042 1
Pt1 0.5000 0.5000 0.7516 1
Ag1 0.0000 0.0000 0.9956 1
Ag2 0.5000 0.5000 0.2489 1
# Energy above the most stable polymorph in this dataset   57 meV per atom

# 5
# meta-GGA SCAN Ti2Ni2Sb, single point on PBEsol structure
data_Ti2Ni2Sb
_cell_length_a 3.3387
_cell_length_b 6.6111
_cell_length_c 6.6111
_cell_angle_alpha 90.00
_cell_angle_beta 90.00
_cell_angle_gamma 90.00
_space_group_name_H-M_alt 'P 1'
_space_group_IT_number 1
_space_group_name_Hall 'P 1'
loop_
_atom_site_label
_atom_site_fract_x
_atom_site_fract_y
_atom_site_fract_z
_atom_site_occupancy
Sb1 0.0000 0.0000 0.0000 1
Sb2 0.0000 0.5000 0.5000 1
Ti1 0.5000 0.1651 0.6651 1
Ti2 0.5000 0.6651 0.8349 1
Ti3 0.5000 0.8349 0.3349 1
Ti4 0.5000 0.3349 0.1651 1
Ni1 0.0000 0.3735 0.8735 1
Ni2 0.0000 0.8735 0.6265 1
Ni3 0.0000 0.6265 0.1265 1
Ni4 0.0000 0.1265 0.3735 1
# Uncorrected formation energy   -0.50 eV per atom

# 6
This record from the Alexandria database describes Sr2HgPt at its PBEsol-relaxed geometry. The functional is meta-GGA SCAN.

Geometry as CIF:
```
data_Sr2HgPt
_cell_length_a 3.8068
_cell_length_b 5.2615
_cell_length_c 5.2615
_cell_angle_alpha 90.00
_cell_angle_beta 90.00
_cell_angle_gamma 90.00
_space_group_name_H-M_alt 'P 1'
_space_group_IT_number 1
_space_group_name_Hall 'P 1'
loop_
_atom_site_label
_atom_site_fract_x
_atom_site_fract_y
_atom_site_fract_z
_atom_site_occupancy
Sr1 0.0000 0.0000 0.5000 1
Sr2 0.0000 0.5000 0.0000 1
Hg1 0.5000 0.0000 0.0000 1
Pt1 0.5000 0.5000 0.5000 1
```

| no. | total moment (μB/cell) | DFT total energy (eV/atom) |
| --- | --- | --- |
| 1 | 0.000 | -13.03 |
| 2 | 9.214 | -24.68 |
| 3 | 0.000 | -59.51 |
| 4 | 0.000 | -50.52 |
| 5 | 0.000 | -20.84 |
| 6 | 0.000 | -46.45 |